# LaCoPt2 | Alexandria | GGA-PBE | relaxed
# Formation enthalpy at 0 K ... -0.37 eV/atom
# D(E_F) ... 13.36 states/eV/cell
data_LaCoPt2
_symmetry_space_group_name_H-M 'I -4 m 2'
_symmetry_Int_Tables_number 119
_symmetry_space_group_name_Hall 'I -4 -2'
_cell_length_a 4.180
_cell_length_b 4.180
_cell_length_c 8.431
_cell_angle_alpha 90.00
_cell_angle_beta 90.00
_cell_angle_gamma 90.00
loop_
_atom_site_label
_atom_site_type_symbol
_atom_site_fract_x
_atom_site_fract_y
_atom_site_fract_z
La1 La 0.000 0.000 0.000
Co1 Co 0.000 0.500 0.250
Pt1 Pt 0.000 0.000 0.500
Pt2 Pt 0.000 0.500 0.750